# K2AlOs PBE-GGA optimized geometry
# - Mass density: 5.33 Mg/m³
# - E_form: 4.2 eV per formula unit
# - DOS(E_F): 2.7 states/eV per cell
data_K2AlOs
_space_group_name_H-M_alt 'P 4/m m m'
_space_group_IT_number 123
_space_group_name_Hall '-P 4 2'
_cell_length_a 2.823
_cell_length_b 2.823
_cell_length_c 11.561
_cell_angle_alpha 90.00
_cell_angle_beta 90.00
_cell_angle_gamma 90.00
loop_
_atom_site_label
_atom_site_type_symbol
_atom_site_fract_x
_atom_site_fract_y
_atom_site_fract_z
K1 K 0.000 0.000 0.234
Al1 Al 0.500 0.500 0.500
Os1 Os 0.500 0.500 0.000

---

# GeSBrN2 PBE-GGA optimized geometry
# - Mass density: 3.45 Mg/m³
# - DOS(E_F): 2.2 states/eV per cell
# - E_form (uncorrected): 1.96 eV/atom
data_GeSBrN2
_space_group_name_H-M_alt 'P 4/m m m'
_space_group_IT_number 123
_space_group_name_Hall '-P 4 2'
_cell_length_a 3.802
_cell_length_b 3.802
_cell_length_c 7.084
_cell_angle_alpha 90.00
_cell_angle_beta 90.00
_cell_angle_gamma 90.00
loop_
_atom_site_label
_atom_site_type_symbol
_atom_site_fract_x
_atom_site_fract_y
_atom_site_fract_z
Ge1 Ge 0.000 0.000 0.000
S1 S 0.500 0.500 0.000
Br1 Br 0.500 0.500 0.500
N1 N 0.000 0.500 0.500

---

# YEr4Mg PBE-GGA optimized geometry
# - Mass density: 7.31 Mg/m³
# - E_form: 0.2 eV per formula unit
# - DOS(E_F): 37.9 states/eV per cell
data_YEr4Mg
_space_group_name_H-M_alt 'C 1 2/c 1'
_space_group_IT_number 15
_cell_length_a 10.472
_cell_length_b 6.059
_cell_length_c 11.750
_cell_angle_alpha 90.00
_cell_angle_beta 107.53
_cell_angle_gamma 90.00
loop_
_space_group_symop_operation_xyz
'x,y,z'
'-x,-y,-z'
'-x,y,-z+1/2'
'x,-y,z+1/2'
'x+1/2,y+1/2,z'
'-x+1/2,-y+1/2,-z'
'-x+1/2,y+1/2,-z+1/2'
'x+1/2,-y+1/2,z+1/2'
loop_
_atom_site_label
_atom_site_type_symbol
_atom_site_fract_x
_atom_site_fract_y
_atom_site_fract_z
Y1 Y 0.250 0.250 0.000
Er1 Er 0.082 0.248 0.501
Er2 Er 0.166 0.416 0.250
Mg1 Mg 0.000 0.084 0.750

---

# Rb2Zn2Hg PBE-GGA optimized geometry
# - Mass density: 4.74 Mg/m³
# - E_form: 0.3 eV per formula unit
# - DOS(E_F): 3.8 states/eV per cell
data_Rb2Zn2Hg
_space_group_name_H-M_alt 'I 4/m m m'
_space_group_IT_number 139
_space_group_name_Hall '-I 4 2'
_cell_length_a 3.928
_cell_length_b 3.928
_cell_length_c 22.818
_cell_angle_alpha 90.00
_cell_angle_beta 90.00
_cell_angle_gamma 90.00
loop_
_atom_site_label
_atom_site_type_symbol
_atom_site_fract_x
_atom_site_fract_y
_atom_site_fract_z
Rb1 Rb 0.000 0.000 0.113
Zn1 Zn 0.000 0.500 0.250
Hg1 Hg 0.000 0.000 0.500

---

# ReSiBr2 PBE-GGA optimized geometry
# - Mass density: 7.67 Mg/m³
# - DOS(E_F): 5.7 states/eV per cell
# - E_form (uncorrected): 0.97 eV/atom
data_ReSiBr2
_space_group_name_H-M_alt 'C m m m'
_space_group_IT_number 65
_space_group_name_Hall '-C 2 2'
_cell_length_a 3.027
_cell_length_b 5.697
_cell_length_c 9.390
_cell_angle_alpha 90.00
_cell_angle_beta 90.00
_cell_angle_gamma 90.00
loop_
_atom_site_label
_atom_site_type_symbol
_atom_site_fract_x
_atom_site_fract_y
_atom_site_fract_z
Re1 Re 0.000 0.000 0.000
Si1 Si 0.000 0.000 0.500
Br1 Br 0.000 0.500 0.220

---

# Ce2ScTl PBE-GGA optimized geometry
# - Mass density: 8.42 Mg/m³
# - E_form: -0.4 eV per formula unit
# - DOS(E_F): 14.6 states/eV per cell
data_Ce2ScTl
_space_group_name_H-M_alt 'P 1 21/m 1'
_space_group_IT_number 11
_cell_length_a 4.401
_cell_length_b 4.263
_cell_length_c 11.279
_cell_angle_alpha 90.00
_cell_angle_beta 99.42
_cell_angle_gamma 90.00
loop_
_space_group_symop_operation_xyz
'x,y,z'
'-x,-y,-z'
'-x,y+1/2,-z'
'x,-y+1/2,z'
loop_
_atom_site_label
_atom_site_type_symbol
_atom_site_fract_x
_atom_site_fract_y
_atom_site_fract_z
Ce1 Ce 0.008 0.250 0.118
Ce2 Ce 0.395 0.250 0.878
Sc1 Sc 0.310 0.750 0.609
Tl1 Tl 0.179 0.750 0.344

---

# ThSbIO4 PBE-GGA optimized geometry
# - Mass density: 6.26 Mg/m³
# - DOS(E_F): 1.8 states/eV per cell
# - E_form (uncorrected): -2.04 eV/atom
data_ThSbIO4
_space_group_name_H-M_alt 'C 1 2/m 1'
_space_group_IT_number 12
_cell_length_a 11.391
_cell_length_b 7.282
_cell_length_c 7.298
_cell_angle_alpha 90.00
_cell_angle_beta 107.31
_cell_angle_gamma 90.00
loop_
_space_group_symop_operation_xyz
'x,y,z'
'-x,-y,-z'
'-x,y,-z'
'x,-y,z'
'x+1/2,y+1/2,z'
'-x+1/2,-y+1/2,-z'
'-x+1/2,y+1/2,-z'
'x+1/2,-y+1/2,z'
loop_
_atom_site_label
_atom_site_type_symbol
_atom_site_fract_x
_atom_site_fract_y
_atom_site_fract_z
Th1 Th 0.247 0.000 0.358
Sb1 Sb 0.132 0.000 0.763
I1 I 0.006 0.500 0.250
O1 O 0.042 0.000 0.316
O2 O 0.192 0.000 0.034
O3 O 0.204 0.188 0.645

---

# Na2H6IrPd PBE-GGA optimized geometry
# - Mass density: 5.05 Mg/m³
# - DOS(E_F): 3.2 states/eV per cell
# - Raw total energy: -38.88 eV per formula unit
data_Na2H6IrPd
_space_group_name_H-M_alt 'P -3 m 1'
_space_group_IT_number 164
_space_group_name_Hall '-P 3 2"'
_cell_length_a 5.0113
_cell_length_b 5.0113
_cell_length_c 5.3013
_cell_angle_alpha 90.00
_cell_angle_beta 90.00
_cell_angle_gamma 120.00
loop_
_atom_site_label
_atom_site_type_symbol
_atom_site_fract_x
_atom_site_fract_y
_atom_site_fract_z
Na1 Na 0.3333 0.6667 0.1984
H1 H 0.1466 0.2931 0.7806
Ir1 Ir 0.0000 0.0000 0.0000
Pd1 Pd 0.0000 0.0000 0.5000